Version a
# LiCrSb2

LiCrSb2 after structural relaxation (PBE, the Alexandria database).

Results
size of the total moment: 3.40 μB per formula unit
Fermi-level density of states: 10.450 states/eV/cell

Cell: 6.9355 6.9355 6.9355 Å, 90.00 90.00 90.00°
Space group Fm-3m (No. 225)
Symmetry-distinct sites (fractional):
Li 0.0000 0.0000 0.0000 [4 per cell]
Cr 0.0000 0.0000 0.5000 [4 per cell]
Sb 0.2500 0.2500 0.2500 [8 per cell]

Version b
# LiCrSb2

LiCrSb2 after structural relaxation (PBE, the Alexandria database).

Results
size of the total moment: 3.69 μB per formula unit
Fermi-level density of states: 3.687 states/eV/cell

Cell: 4.6422 4.6422 7.7612 Å, 90.00 90.00 90.00°
Space group I4/mmm (No. 139)
Symmetry-distinct sites (fractional):
Li 0.0000 0.0000 0.0000 [2 per cell]
Cr 0.0000 0.0000 0.5000 [2 per cell]
Sb 0.0000 0.5000 0.2500 [4 per cell]

Version c
# LiCrSb2

LiCrSb2 after structural relaxation (PBE, the Alexandria database).

Results
size of the total moment: 3.88 μB per formula unit
Fermi-level density of states: 1.643 states/eV/cell

Cell: 4.5969 4.5969 3.9699 Å, 90.00 90.00 90.00°
Space group P4/mmm (No. 123)
Symmetry-distinct sites (fractional):
Li 0.0000 0.0000 0.0000 [1 per cell]
Cr 0.5000 0.5000 0.0000 [1 per cell]
Sb 0.0000 0.5000 0.5000 [2 per cell]

Winner for stability: version b

Version a
# LiCrSb2

LiCrSb2 after structural relaxation (PBE, the Alexandria database).

Results
size of the total moment: 3.30 μB per formula unit
Fermi-level density of states: 3.684 states/eV/cell

Cell: 8.2685 3.6851 5.9176 Å, 90.00 104.67 90.00°
Space group C2/m (No. 12)
Symmetry-distinct sites (fractional):
Li 0.0000 0.0000 0.0000 [2 per cell]
Cr 0.0000 0.5000 0.5000 [2 per cell]
Sb 0.2412 0.0000 0.7227 [4 per cell]

Version b
# LiCrSb2

LiCrSb2 after structural relaxation (PBE, the Alexandria database).

Results
size of the total moment: 3.00 μB per formula unit
Fermi-level density of states: 2.027 states/eV/cell

Cell: 3.8216 3.8216 5.6093 Å, 90.00 90.00 90.00°
Space group P4mm (No. 99)
Symmetry-distinct sites (fractional):
Li 0.0000 0.0000 0.0000 [1 per cell]
Cr 0.5000 0.5000 0.6614 [1 per cell]
Sb 0.0000 0.0000 0.5212 [1 per cell]
Sb 0.5000 0.5000 0.1558 [1 per cell]

Version c
# LiCrSb2

LiCrSb2 after structural relaxation (PBE, the Alexandria database).

Results
size of the total moment: 3.74 μB per formula unit
Fermi-level density of states: 1.766 states/eV/cell

Cell: 3.3837 3.3837 7.8564 Å, 90.00 90.00 90.00°
Space group P4mm (No. 99)
Symmetry-distinct sites (fractional):
Li 0.0000 0.0000 0.0000 [1 per cell]
Cr 0.5000 0.5000 0.8130 [1 per cell]
Sb 0.0000 0.0000 0.6147 [1 per cell]
Sb 0.5000 0.5000 0.1875 [1 per cell]

Version d
# LiCrSb2

LiCrSb2 after structural relaxation (PBE, the Alexandria database).

Results
size of the total moment: 1.37 μB per formula unit
Fermi-level density of states: 6.791 states/eV/cell

Cell: 3.3855 3.3855 24.6506 Å, 90.00 90.00 120.00°
Space group R-3m (No. 166, hexagonal axes)
Symmetry-distinct sites (fractional):
Li 0.0000 0.0000 0.0000 [3 per cell]
Cr 0.0000 0.0000 0.5000 [3 per cell]
Sb 0.0000 0.0000 0.2416 [6 per cell]

Winner for stability: version a

Version a
# LiCrSb2

LiCrSb2 after structural relaxation (PBE, the Alexandria database).

Results
size of the total moment: 3.14 μB per formula unit
Fermi-level density of states: 1.987 states/eV/cell

Cell: 4.2936 4.9586 7.9176 Å, 90.00 90.00 90.00°
Space group Cmmm (No. 65)
Symmetry-distinct sites (fractional):
Li 0.0000 0.0000 0.0000 [2 per cell]
Cr 0.0000 0.0000 0.5000 [2 per cell]
Sb 0.0000 0.5000 0.2713 [4 per cell]

Version b
# LiCrSb2

LiCrSb2 after structural relaxation (PBE, the Alexandria database).

Results
size of the total moment: 4.16 μB per formula unit
Fermi-level density of states: 7.398 states/eV/cell

Cell: 7.1220 7.1220 7.1220 Å, 90.00 90.00 90.00°
Space group F-43m (No. 216)
Symmetry-distinct sites (fractional):
Li 0.0000 0.0000 0.0000 [4 per cell]
Cr 0.2500 0.2500 0.2500 [4 per cell]
Sb 0.0000 0.0000 0.5000 [4 per cell]
Sb 0.2500 0.2500 0.7500 [4 per cell]

Version c
# LiCrSb2

LiCrSb2 after structural relaxation (PBE, the Alexandria database).

Results
size of the total moment: 3.97 μB per formula unit
Fermi-level density of states: 2.885 states/eV/cell

Cell: 6.4466 8.0602 3.2435 Å, 90.00 90.00 90.00°
Space group Cmmm (No. 65)
Symmetry-distinct sites (fractional):
Li 0.0000 0.0000 0.0000 [2 per cell]
Cr 0.0000 0.5000 0.0000 [2 per cell]
Sb 0.2500 0.2500 0.5000 [4 per cell]

Version d
# LiCrSb2

LiCrSb2 after structural relaxation (PBE, the Alexandria database).

Results
size of the total moment: 0.92 μB per formula unit
Fermi-level density of states: 2.561 states/eV/cell

Cell: 3.2155 3.2155 7.6836 Å, 90.00 90.00 90.00°
Space group P4/mmm (No. 123)
Symmetry-distinct sites (fractional):
Li 0.0000 0.0000 0.0000 [1 per cell]
Cr 0.0000 0.0000 0.5000 [1 per cell]
Sb 0.5000 0.5000 0.2873 [2 per cell]

Winner for stability: version a

Version a
# LiCrSb2

LiCrSb2 after structural relaxation (PBE, the Alexandria database).

Results
size of the total moment: 3.37 μB per formula unit
Fermi-level density of states: 3.401 states/eV/cell

Cell: 3.3080 3.3296 16.2734 Å, 90.00 90.00 90.00°
Space group Imm2 (No. 44)
Symmetry-distinct sites (fractional):
Li 0.0000 0.0000 0.0000 [2 per cell]
Cr 0.0000 0.5000 0.2479 [2 per cell]
Sb 0.0000 0.0000 0.3859 [2 per cell]
Sb 0.0000 0.5000 0.6507 [2 per cell]

Version b
# LiCrSb2

LiCrSb2 after structural relaxation (PBE, the Alexandria database).

Results
size of the total moment: 3.11 μB per formula unit
Fermi-level density of states: 2.073 states/eV/cell

Cell: 3.8173 4.1864 5.3760 Å, 90.00 110.41 90.00°
Space group Pm (No. 6)
Symmetry-distinct sites (fractional):
Li 0.0000 0.0000 0.0000 [1 per cell]
Cr 0.8257 0.5000 0.6427 [1 per cell]
Sb 0.2840 0.0000 0.5546 [1 per cell]
Sb 0.5368 0.5000 0.0747 [1 per cell]

Version c
# LiCrSb2

LiCrSb2 after structural relaxation (PBE, the Alexandria database).

Results
size of the total moment: 0.92 μB per formula unit
Fermi-level density of states: 2.249 states/eV/cell

Cell: 3.2256 3.2027 7.7637 Å, 90.00 97.23 90.00°
Space group P2/m (No. 10)
Symmetry-distinct sites (fractional):
Li 0.0000 0.0000 0.0000 [1 per cell]
Cr 0.0000 0.0000 0.5000 [1 per cell]
Sb 0.4550 0.5000 0.2873 [2 per cell]

Winner for stability: version a

Version a
# LiCr2Sb2

LiCr2Sb2 after structural relaxation (PBE, the Alexandria database).

Results
size of the total moment: 0.00 μB per formula unit
Fermi-level density of states: 5.448 states/eV/cell

Cell: 3.4295 3.4295 16.6470 Å, 90.00 90.00 90.00°
Space group I4/mmm (No. 139)
Symmetry-distinct sites (fractional):
Li 0.0000 0.0000 0.0000 [2 per cell]
Cr 0.0000 0.5000 0.2500 [4 per cell]
Sb 0.0000 0.0000 0.3756 [4 per cell]

Version b
# LiCr2Sb2

LiCr2Sb2 after structural relaxation (PBE, the Alexandria database).

Results
size of the total moment: 4.76 μB per formula unit
Fermi-level density of states: 7.267 states/eV/cell

Cell: 7.6612 7.6612 3.1827 Å, 90.00 90.00 90.00°
Space group P4/mbm (No. 127)
Symmetry-distinct sites (fractional):
Li 0.0000 0.0000 0.0000 [2 per cell]
Cr 0.1322 0.3678 0.5000 [4 per cell]
Sb 0.1614 0.6614 0.0000 [4 per cell]

Winner for stability: version a

Version a
# Li2ScCr

Li2ScCr after structural relaxation (PBE, the Alexandria database).

Results
size of the total moment: 4.13 μB per formula unit
Fermi-level density of states: 6.217 states/eV/cell

Cell: 3.4841 4.7702 8.8727 Å, 90.00 90.00 90.00°
Space group Imm2 (No. 44)
Symmetry-distinct sites (fractional):
Li 0.0000 0.0000 0.0000 [2 per cell]
Li 0.0000 0.5000 0.2805 [2 per cell]
Sc 0.0000 0.0000 0.5124 [2 per cell]
Cr 0.0000 0.5000 0.7414 [2 per cell]

Version b
# Li2ScCr

Li2ScCr after structural relaxation (PBE, the Alexandria database).

Results
size of the total moment: 3.47 μB per formula unit
Fermi-level density of states: 4.712 states/eV/cell

Cell: 4.7016 4.7016 6.6227 Å, 90.00 90.00 90.00°
Space group I-4m2 (No. 119)
Symmetry-distinct sites (fractional):
Li 0.0000 0.0000 0.0000 [2 per cell]
Li 0.0000 0.5000 0.2500 [2 per cell]
Sc 0.0000 0.5000 0.7500 [2 per cell]
Cr 0.0000 0.0000 0.5000 [2 per cell]

Version c
# Li2ScCr

Li2ScCr after structural relaxation (PBE, the Alexandria database).

Results
size of the total moment: 3.47 μB per formula unit
Fermi-level density of states: 3.148 states/eV/cell

Cell: 2.9453 4.5864 5.5638 Å, 90.00 90.00 90.00°
Space group Pmmm (No. 47)
Symmetry-distinct sites (fractional):
Li 0.0000 0.0000 0.2290 [2 per cell]
Sc 0.5000 0.5000 0.5000 [1 per cell]
Cr 0.5000 0.5000 0.0000 [1 per cell]

Version d
# Li2ScCr

Li2ScCr after structural relaxation (PBE, the Alexandria database).

Results
size of the total moment: 4.20 μB per formula unit
Fermi-level density of states: 6.262 states/eV/cell

Cell: 3.0233 3.0233 30.0999 Å, 90.00 90.00 120.00°
Space group R-3m (No. 166, hexagonal axes)
Symmetry-distinct sites (fractional):
Li 0.0000 0.0000 0.2443 [6 per cell]
Sc 0.0000 0.0000 0.0000 [3 per cell]
Cr 0.0000 0.0000 0.5000 [3 per cell]

Winner for stability: version b

Version a
# Li2ScCr

Li2ScCr after structural relaxation (PBE, the Alexandria database).

Results
size of the total moment: 1.53 μB per formula unit
Fermi-level density of states: 4.049 states/eV/cell

Cell: 2.6464 2.6464 9.5885 Å, 90.00 90.00 90.00°
Space group P4/mmm (No. 123)
Symmetry-distinct sites (fractional):
Li 0.0000 0.0000 0.2245 [2 per cell]
Sc 0.5000 0.5000 0.5000 [1 per cell]
Cr 0.5000 0.5000 0.0000 [1 per cell]

Version b
# Li2ScCr

Li2ScCr after structural relaxation (PBE, the Alexandria database).

Results
size of the total moment: 0.00 μB per formula unit
Fermi-level density of states: 4.080 states/eV/cell

Cell: 2.7183 2.7183 9.4078 Å, 90.00 90.00 90.00°
Space group P4mm (No. 99)
Symmetry-distinct sites (fractional):
Li 0.0000 0.0000 0.0000 [1 per cell]
Li 0.5000 0.5000 0.2664 [1 per cell]
Sc 0.0000 0.0000 0.5563 [1 per cell]
Cr 0.5000 0.5000 0.7733 [1 per cell]

Winner for stability: version b

Version a
# Li2ScCr

Li2ScCr after structural relaxation (PBE, the Alexandria database).

Results
size of the total moment: 3.37 μB per formula unit
Fermi-level density of states: 7.083 states/eV/cell

Cell: 5.5508 10.1960 3.0123 Å, 90.00 116.60 90.00°
Space group C2/m (No. 12)
Symmetry-distinct sites (fractional):
Li 0.2500 0.2500 0.0000 [4 per cell]
Sc 0.0000 0.0000 0.5000 [2 per cell]
Cr 0.0000 0.5000 0.5000 [2 per cell]

Version b
# Li2ScCr

Li2ScCr after structural relaxation (PBE, the Alexandria database).

Results
size of the total moment: 0.00 μB per formula unit
Fermi-level density of states: 11.916 states/eV/cell

Cell: 6.3042 6.3042 6.3042 Å, 90.00 90.00 90.00°
Space group Fm-3m (No. 225)
Symmetry-distinct sites (fractional):
Li 0.2500 0.2500 0.2500 [8 per cell]
Sc 0.0000 0.0000 0.0000 [4 per cell]
Cr 0.0000 0.0000 0.5000 [4 per cell]

Winner for stability: version a

Version a
# Li2ScCr

Li2ScCr after structural relaxation (PBE, the Alexandria database).

Results
size of the total moment: 3.35 μB per formula unit
Fermi-level density of states: 3.958 states/eV/cell

Cell: 3.4658 3.4658 6.1288 Å, 90.00 90.00 90.00°
Space group P4/mmm (No. 123)
Symmetry-distinct sites (fractional):
Li 0.0000 0.0000 0.2207 [2 per cell]
Sc 0.5000 0.5000 0.5000 [1 per cell]
Cr 0.5000 0.5000 0.0000 [1 per cell]

Version b
# Li2ScCr

Li2ScCr after structural relaxation (PBE, the Alexandria database).

Results
size of the total moment: 3.34 μB per formula unit
Fermi-level density of states: 3.073 states/eV/cell

Cell: 2.9942 5.0222 5.0551 Å, 90.00 96.84 90.00°
Space group P2/m (No. 10)
Symmetry-distinct sites (fractional):
Li 0.2174 0.0000 0.2716 [2 per cell]
Sc 0.5000 0.5000 0.0000 [1 per cell]
Cr 0.0000 0.5000 0.5000 [1 per cell]

Version c
# Li2ScCr

Li2ScCr after structural relaxation (PBE, the Alexandria database).

Results
size of the total moment: 3.47 μB per formula unit
Fermi-level density of states: 5.116 states/eV/cell

Cell: 3.2703 4.5830 9.8890 Å, 90.00 90.00 90.00°
Space group Immm (No. 71)
Symmetry-distinct sites (fractional):
Li 0.0000 0.0000 0.2339 [4 per cell]
Sc 0.0000 0.5000 0.0000 [2 per cell]
Cr 0.0000 0.5000 0.5000 [2 per cell]

Winner for stability: version c

Version a
# Li2ScCr

Li2ScCr after structural relaxation (PBE, the Alexandria database).

Results
size of the total moment: 3.48 μB per formula unit
Fermi-level density of states: 7.901 states/eV/cell

Cell: 3.8449 3.8449 21.0236 Å, 90.00 90.00 90.00°
Space group I-42d (No. 122)
Symmetry-distinct sites (fractional):
Li 0.2232 0.7500 0.1250 [8 per cell]
Sc 0.0000 0.0000 0.5000 [4 per cell]
Cr 0.0000 0.0000 0.0000 [4 per cell]

Version b
# Li2ScCr

Li2ScCr after structural relaxation (PBE, the Alexandria database).

Results
size of the total moment: 3.19 μB per formula unit
Fermi-level density of states: 2.601 states/eV/cell

Cell: 3.2680 4.5236 5.0172 Å, 90.00 90.00 90.00°
Space group Pmmm (No. 47)
Symmetry-distinct sites (fractional):
Li 0.0000 0.0000 0.0000 [1 per cell]
Li 0.5000 0.5000 0.0000 [1 per cell]
Sc 0.0000 0.5000 0.5000 [1 per cell]
Cr 0.5000 0.0000 0.5000 [1 per cell]

Winner for stability: version b